Record 1
VASP calculation (PBE) on ErTm3Sc2Bi2Os after structural relaxation. Values from VASP.

```
&SYSTEM
  ibrav = 0, nat = 9, ntyp = 5
/
ATOMIC_SPECIES
Er 167.26 Er.upf
Tm 168.93 Tm.upf
Sc 44.96 Sc.upf
Bi 208.98 Bi.upf
Os 190.23 Os.upf
CELL_PARAMETERS angstrom
4.1930 0.0000 0.0000
0.0000 6.9444 4.0130
0.0000 -6.9444 4.0130
ATOMIC_POSITIONS angstrom
Er 0.0000 0.0000 0.0000
Tm 2.0965 -4.2700 4.3435
Tm 2.0965 0.0000 4.8858
Tm 2.0965 4.2700 4.3435
Sc 0.0000 -1.5772 2.7694
Sc 0.0000 1.5772 2.7694
Bi 0.0000 -2.3449 5.8402
Bi 0.0000 2.3449 5.8402
Os 2.0965 0.0000 1.9353
```

Output
Its total magnetization is 0.003 μB/atom. The energy is -6.123 eV/atom.



Record 2
VASP calculation (PBE) on Er3TmSc2Bi2Os after structural relaxation. Values from VASP.

```
&SYSTEM
  ibrav = 0, nat = 9, ntyp = 5
/
ATOMIC_SPECIES
Er 167.26 Er.upf
Tm 168.93 Tm.upf
Sc 44.96 Sc.upf
Bi 208.98 Bi.upf
Os 190.23 Os.upf
CELL_PARAMETERS angstrom
4.2077 0.0000 0.0000
0.0000 6.9608 4.0065
0.0000 -6.9608 4.0065
ATOMIC_POSITIONS angstrom
Er 0.0000 0.0000 0.0000
Er 0.0000 -2.6977 4.5793
Er 0.0000 2.6977 4.5793
Tm 2.1038 0.0000 4.8750
Sc 2.1038 -1.5740 2.1367
Sc 2.1038 1.5740 2.1367
Bi 2.1038 -4.6124 3.0700
Bi 2.1038 4.6124 3.0700
Os 0.0000 0.0000 2.9672
```

Output
Its total magnetization is 0.003 μB/atom. The energy is -6.158 eV/atom.



Record 3
VASP calculation (PBE) on YEr3Sc2Bi2Os after structural relaxation. Values from VASP.

```
&SYSTEM
  ibrav = 0, nat = 9, ntyp = 5
/
ATOMIC_SPECIES
Y 88.91 Y.upf
Er 167.26 Er.upf
Sc 44.96 Sc.upf
Bi 208.98 Bi.upf
Os 190.23 Os.upf
CELL_PARAMETERS angstrom
4.2020 0.0000 0.0000
0.0000 6.9664 4.0311
0.0000 -6.9664 4.0311
ATOMIC_POSITIONS angstrom
Y 0.0000 0.0000 0.0000
Er 2.1010 -4.2549 3.7120
Er 2.1010 0.0000 3.1334
Er 2.1010 4.2549 3.7120
Sc 0.0000 -1.5803 5.2761
Sc 0.0000 1.5803 5.2761
Bi 0.0000 -2.3614 2.1947
Bi 0.0000 2.3614 2.1947
Os 2.1010 0.0000 6.0751
```

Output
Its total magnetization is 0.005 μB/atom. The energy is -6.363 eV/atom.



Record 4
VASP calculation (PBE) on Er5TmBi2Os after structural relaxation. Values from VASP.

```
&SYSTEM
  ibrav = 0, nat = 9, ntyp = 4
/
ATOMIC_SPECIES
Er 167.26 Er.upf
Tm 168.93 Tm.upf
Bi 208.98 Bi.upf
Os 190.23 Os.upf
CELL_PARAMETERS angstrom
4.2212 0.0000 0.0000
0.0000 7.1163 4.1103
0.0000 -7.1163 4.1103
ATOMIC_POSITIONS angstrom
Er 0.0000 0.0000 0.0000
Er 0.0000 -2.7405 3.4649
Er 0.0000 2.7405 3.4649
Er 2.1106 -1.6572 6.0068
Er 2.1106 1.6572 6.0068
Tm 2.1106 0.0000 3.1384
Bi 2.1106 -4.7480 5.0523
Bi 2.1106 4.7480 5.0523
Os 0.0000 0.0000 5.0391
```

Output
Its total magnetization is 0.002 μB/atom. The energy is -5.733 eV/atom.



Record 5
VASP calculation (PBE) on YEr3Tm2Bi2Os after structural relaxation. Values from VASP.

```
&SYSTEM
  ibrav = 0, nat = 9, ntyp = 5
/
ATOMIC_SPECIES
Y 88.91 Y.upf
Er 167.26 Er.upf
Tm 168.93 Tm.upf
Bi 208.98 Bi.upf
Os 190.23 Os.upf
CELL_PARAMETERS angstrom
4.2218 0.0000 0.0000
0.0000 7.1445 4.1084
0.0000 -7.1445 4.1084
ATOMIC_POSITIONS angstrom
Y 0.0000 0.0000 0.0000
Er 2.1109 -4.3867 3.7508
Er 2.1109 0.0000 3.1358
Er 2.1109 4.3867 3.7508
Tm 0.0000 -1.6670 5.3228
Tm 0.0000 1.6670 5.3228
Bi 0.0000 -2.3952 2.1804
Bi 0.0000 2.3952 2.1804
Os 2.1109 0.0000 6.2391
```

Output
Its total magnetization is 0.003 μB/atom. The energy is -5.929 eV/atom.



Record 6
VASP calculation (PBE) on Y2Er3TmBi2Os after structural relaxation. Values from VASP.

```
&SYSTEM
  ibrav = 0, nat = 9, ntyp = 5
/
ATOMIC_SPECIES
Y 88.91 Y.upf
Er 167.26 Er.upf
Tm 168.93 Tm.upf
Bi 208.98 Bi.upf
Os 190.23 Os.upf
CELL_PARAMETERS angstrom
4.2252 0.0000 0.0000
0.0000 7.1358 4.1458
0.0000 -7.1358 4.1458
ATOMIC_POSITIONS angstrom
Y 0.0000 -5.4535 4.1458
Y 0.0000 5.4535 4.1458
Er 2.1126 0.0000 2.2342
Er 2.1126 -2.7355 5.7132
Er 2.1126 2.7355 5.7132
Tm 0.0000 0.0000 5.3719
Bi 0.0000 -2.3623 3.1730
Bi 0.0000 2.3623 3.1730
Os 2.1126 0.0000 7.2548
```

Output
Its total magnetization is 0.004 μB/atom. The energy is -6.137 eV/atom.



Record 7
VASP calculation (PBE) on YEr2Tm3Bi2Os after structural relaxation. Values from VASP.

```
&SYSTEM
  ibrav = 0, nat = 9, ntyp = 5
/
ATOMIC_SPECIES
Y 88.91 Y.upf
Er 167.26 Er.upf
Tm 168.93 Tm.upf
Bi 208.98 Bi.upf
Os 190.23 Os.upf
CELL_PARAMETERS angstrom
4.2102 0.0000 0.0000
0.0000 7.1425 4.1102
0.0000 -7.1425 4.1102
ATOMIC_POSITIONS angstrom
Y 0.0000 0.0000 0.0000
Er 0.0000 -1.6770 5.3036
Er 0.0000 1.6770 5.3036
Tm 2.1051 -4.4009 3.7296
Tm 2.1051 0.0000 3.1327
Tm 2.1051 4.4009 3.7296
Bi 0.0000 -2.3900 2.1651
Bi 0.0000 2.3900 2.1651
Os 2.1051 0.0000 6.2391
```

Output
Its total magnetization is 0.002 μB/atom. The energy is -5.900 eV/atom.



Record 8
VASP calculation (PBE) on Er3Zr3Bi2Os after structural relaxation. Values from VASP.

```
&SYSTEM
  ibrav = 0, nat = 9, ntyp = 4
/
ATOMIC_SPECIES
Er 167.26 Er.upf
Zr 91.22 Zr.upf
Bi 208.98 Bi.upf
Os 190.23 Os.upf
CELL_PARAMETERS angstrom
8.1472 0.0000 0.0000
-4.0736 7.0557 0.0000
0.0000 0.0000 3.8555
ATOMIC_POSITIONS angstrom
Er -3.0770 5.3295 0.0000
Er 0.9966 1.7262 0.0000
Er 6.1540 0.0000 0.0000
Zr -1.5841 2.7438 1.9278
Zr 3.1682 0.0000 1.9278
Zr 2.4895 4.3119 1.9278
Bi 0.0000 4.7038 0.0000
Bi 4.0736 2.3519 0.0000
Os 0.0000 0.0000 1.9278
```

Output
Its total magnetization is 0.007 μB/atom. The calculation puts the energy above the most stable polymorph in this dataset at 0.163 eV per atom. The energy is -6.831 eV/atom.



Record 9
VASP calculation (PBE) on Er3Zr3Bi2Os after structural relaxation. Values from VASP.

```
&SYSTEM
  ibrav = 0, nat = 9, ntyp = 4
/
ATOMIC_SPECIES
Er 167.26 Er.upf
Zr 91.22 Zr.upf
Bi 208.98 Bi.upf
Os 190.23 Os.upf
CELL_PARAMETERS angstrom
8.0913 0.0000 0.0000
-4.0456 7.0073 0.0000
0.0000 0.0000 3.9958
ATOMIC_POSITIONS angstrom
Er -1.5773 2.7319 0.0000
Er 3.1546 0.0000 0.0000
Er 2.4684 4.2753 0.0000
Zr -3.1039 5.3761 1.9979
Zr 0.9418 1.6312 1.9979
Zr 6.2078 0.0000 1.9979
Bi 0.0000 4.6715 1.9979
Bi 4.0456 2.3358 1.9979
Os 0.0000 0.0000 0.0000
```

Output
Its total magnetization is 0.026 μB/atom. The calculation puts the energy above the most stable polymorph in this dataset at 0.000 eV per atom. The energy is -6.994 eV/atom.



Record 10
VASP calculation (PBE) on ErPaBi after structural relaxation. Values from VASP.

```
&SYSTEM
  ibrav = 0, nat = 3, ntyp = 3
/
ATOMIC_SPECIES
Er 167.26 Er.upf
Pa 231.04 Pa.upf
Bi 208.98 Bi.upf
CELL_PARAMETERS angstrom
0.0000 3.6976 3.6976
3.6976 0.0000 3.6976
3.6976 3.6976 0.0000
ATOMIC_POSITIONS angstrom
Er 0.0000 0.0000 0.0000
Pa 1.8488 1.8488 1.8488
Bi 5.5464 5.5464 5.5464
```

Output
Its total magnetization is 1.416 μB/atom. The calculation puts the energy above the most stable polymorph in this dataset at 0.000 eV per atom. The energy is -5.374 eV/atom.



Record 11
VASP calculation (PBE) on ErBiPb after structural relaxation. Values from VASP.

```
&SYSTEM
  ibrav = 0, nat = 3, ntyp = 3
/
ATOMIC_SPECIES
Er 167.26 Er.upf
Bi 208.98 Bi.upf
Pb 207.20 Pb.upf
CELL_PARAMETERS angstrom
0.0000 3.7178 3.7178
3.7178 0.0000 3.7178
3.7178 3.7178 0.0000
ATOMIC_POSITIONS angstrom
Er 0.0000 0.0000 0.0000
Bi 3.7178 3.7178 3.7178
Pb 5.5767 5.5767 5.5767
```

Output
Its total magnetization is 0.000 μB/atom. The energy is -4.075 eV/atom.



Record 12
VASP calculation (PBE) on PrErBi after structural relaxation. Values from VASP.

```
&SYSTEM
  ibrav = 0, nat = 3, ntyp = 3
/
ATOMIC_SPECIES
Pr 140.91 Pr.upf
Er 167.26 Er.upf
Bi 208.98 Bi.upf
CELL_PARAMETERS angstrom
0.0000 3.7112 3.7112
3.7112 0.0000 3.7112
3.7112 3.7112 0.0000
ATOMIC_POSITIONS angstrom
Pr 0.0000 0.0000 0.0000
Er 3.7112 3.7112 3.7112
Bi 5.5668 5.5668 5.5668
```

Output
Its total magnetization is 0.005 μB/atom. The energy is -4.796 eV/atom.



- Among the records above, which one has the highest total magnetization?
  ErPaBi



Copy entry 2 word for word.
VASP calculation (PBE) on Er3TmSc2Bi2Os after structural relaxation. Values from VASP.

```
&SYSTEM
  ibrav = 0, nat = 9, ntyp = 5
/
ATOMIC_SPECIES
Er 167.26 Er.upf
Tm 168.93 Tm.upf
Sc 44.96 Sc.upf
Bi 208.98 Bi.upf
Os 190.23 Os.upf
CELL_PARAMETERS angstrom
4.2077 0.0000 0.0000
0.0000 6.9608 4.0065
0.0000 -6.9608 4.0065
ATOMIC_POSITIONS angstrom
Er 0.0000 0.0000 0.0000
Er 0.0000 -2.6977 4.5793
Er 0.0000 2.6977 4.5793
Tm 2.1038 0.0000 4.8750
Sc 2.1038 -1.5740 2.1367
Sc 2.1038 1.5740 2.1367
Bi 2.1038 -4.6124 3.0700
Bi 2.1038 4.6124 3.0700
Os 0.0000 0.0000 2.9672
```

Output
Its total magnetization is 0.003 μB/atom. The energy is -6.158 eV/atom.



- Among the records above, which one has the highest total magnetization?
  ErPaBi